Entry from Alexandria: a geometry-optimized AcCe2Pu structure (PBE).

Unit cell a=3.6493 b=3.6493 c=10.5981 alpha=80.09 beta=80.09 gamma=60.00
Last column: nearest neighbours and their distance in Å.
Atoms (fractional coordinates):
Ce 0.1166 0.1166 0.6501  3 Pu 2.62
Ac 0.0000 0.0000 0.0000  2 Ce 3.63, 6 Ac 3.65
Pu 0.5000 0.5000 0.5000  6 Ce 2.62
Ce 0.8834 0.8834 0.3499  3 Pu 2.62

- Energy relative to the lowest polymorph listed for this composition: 281 meV per atom
- Space group: No. 166
- ΔH_f (0 K): 446 meV/atom